[1]
Here is Ag3Au2O4 after structural relaxation from the Alexandria database. Energies are from PBE-GGA.

E_form (uncorrected) = 0.010 eV per atom

Geometry as POSCAR:
```
Ag3Au2O4
1.0
5.633 -3.519 0.000
5.633 3.519 0.000
-2.100 0.000 9.039
Ag Au O
6 4 8
Cartesian
4.058 2.925 6.779 Ag
3.183 0.860 4.449 Ag
2.133 -0.860 8.969 Ag
7.032 0.860 0.070 Ag
5.982 -0.860 4.590 Ag
5.108 -2.925 2.260 Ag
2.092 2.591 8.987 Au
6.024 2.591 4.572 Au
3.142 -2.591 4.467 Au
7.074 -2.591 0.053 Au
1.147 0.791 3.820 O
0.097 -0.791 8.340 O
2.974 0.958 8.242 O
5.142 0.958 5.316 O
4.024 -0.958 3.723 O
6.191 -0.958 0.797 O
9.069 0.791 0.700 O
8.019 -0.791 5.219 O
```

[2]
Here is UAs2Rh7 after structural relaxation from the Alexandria database. Energies are from PBE-GGA.

E_form = -0.555 eV per atom

Geometry as POSCAR:
```
UAs2Rh7
1.0
-2.027 2.027 9.752
2.027 -2.027 9.752
2.027 2.027 -9.752
U As Rh
1 2 7
Cartesian
0.000 0.000 0.000 U
0.000 0.000 6.301 As
0.000 0.000 13.202 As
2.027 0.000 1.947 Rh
2.027 0.000 4.876 Rh
2.027 0.000 7.805 Rh
0.000 0.000 9.752 Rh
0.000 2.027 1.947 Rh
0.000 2.027 4.876 Rh
0.000 2.027 7.805 Rh
```

[3]
Here is Sr2Zn2Pd after structural relaxation from the Alexandria database. Energies are from PBE-GGA.

Energy relative to the lowest polymorph listed for this composition = 0.000 kcal/mol of atoms
E_form = -0.422 eV per atom

Geometry as POSCAR:
```
Sr2Zn2Pd
1.0
5.750 -2.202 0.000
5.750 2.202 0.000
-4.805 0.000 10.515
Sr Zn Pd
4 4 2
Cartesian
10.722 0.000 1.699 Sr
-4.026 0.000 8.816 Sr
-0.728 0.000 6.514 Sr
7.424 0.000 4.001 Sr
-0.878 0.000 9.944 Zn
2.698 0.000 6.460 Zn
3.997 0.000 4.055 Zn
7.574 0.000 0.571 Zn
2.577 0.000 1.777 Pd
4.118 0.000 8.738 Pd
```

[4]
Here is Sm2Cd2Ag3 after structural relaxation from the Alexandria database. Energies are from PBE-GGA.

E_form = -0.235 eV per atom

Geometry as POSCAR:
```
Sm2Cd2Ag3
1.0
10.721 0.000 0.000
0.000 4.551 0.000
-2.495 0.000 6.763
Sm Cd Ag
4 4 6
Cartesian
0.804 0.000 1.733 Sm
2.062 2.276 5.029 Sm
6.164 2.276 1.733 Sm
7.423 0.000 5.029 Sm
-0.109 0.000 4.825 Cd
2.975 2.276 1.938 Cd
5.252 2.276 4.825 Cd
8.335 0.000 1.938 Cd
-1.247 2.276 3.381 Ag
-1.144 2.276 6.279 Ag
4.010 0.000 0.483 Ag
4.113 0.000 3.381 Ag
4.217 0.000 6.279 Ag
9.370 2.276 0.483 Ag
```

[5]
Here is Sc4Ir3Ru after structural relaxation from the Alexandria database. Energies are from PBE-GGA.

E_form = -0.943 eV per atom

Geometry as POSCAR:
```
Sc4Ir3Ru
1.0
4.549 0.000 0.000
0.000 4.549 0.000
0.000 0.000 12.910
Sc Ir Ru
8 6 2
Cartesian
0.000 2.274 1.597 Sc
0.000 2.274 4.858 Sc
0.000 2.274 8.052 Sc
0.000 2.274 11.313 Sc
2.274 0.000 1.597 Sc
2.274 0.000 4.858 Sc
2.274 0.000 8.052 Sc
2.274 0.000 11.313 Sc
0.000 0.000 0.000 Ir
0.000 0.000 3.231 Ir
0.000 0.000 9.679 Ir
2.274 2.274 3.224 Ir
2.274 2.274 6.455 Ir
2.274 2.274 9.686 Ir
0.000 0.000 6.455 Ru
2.274 2.274 0.000 Ru
```

[6]
Here is CuSiIrPt after structural relaxation from the Alexandria database. Energies are from PBE-GGA.

E_form (uncorrected) = -0.302 eV per atom

Geometry as POSCAR:
```
CuSiIrPt
1.0
5.995 0.000 0.000
0.000 5.995 0.000
0.000 0.000 5.995
Cu Si Ir Pt
4 4 4 4
Cartesian
0.000 0.000 0.000 Cu
0.000 2.997 2.997 Cu
2.997 0.000 2.997 Cu
2.997 2.997 0.000 Cu
0.000 0.000 2.997 Si
0.000 2.997 0.000 Si
2.997 0.000 0.000 Si
2.997 2.997 2.997 Si
1.499 1.499 4.496 Ir
1.499 4.496 1.499 Ir
4.496 1.499 1.499 Ir
4.496 4.496 4.496 Ir
1.499 1.499 1.499 Pt
1.499 4.496 4.496 Pt
4.496 1.499 4.496 Pt
4.496 4.496 1.499 Pt
```

[7]
Here is Li2Ag3Au3 after structural relaxation from the Alexandria database. Energies are from PBE-GGA.

Energy relative to the lowest polymorph listed for this composition = 0.000 kcal/mol of atoms
E_form = -0.214 eV per atom

Geometry as POSCAR:
```
Li2Ag3Au3
1.0
2.181 -4.857 0.000
2.181 4.857 0.000
0.000 0.000 13.508
Li Ag Au
4 6 6
Cartesian
2.181 2.568 8.417 Li
2.181 2.568 11.846 Li
2.181 -2.568 1.663 Li
2.181 -2.568 5.092 Li
2.181 1.084 0.869 Ag
2.181 1.084 5.885 Ag
2.181 0.351 10.131 Ag
2.181 -0.351 3.377 Ag
2.181 -1.084 7.623 Ag
2.181 -1.084 12.639 Ag
2.181 3.991 1.091 Au
2.181 3.991 5.663 Au
2.181 2.482 3.377 Au
2.181 -2.482 10.131 Au
2.181 -3.991 7.846 Au
2.181 -3.991 12.417 Au
```

[8]
Here is YTcHg2 after structural relaxation from the Alexandria database. Energies are from PBE-GGA.

Energy relative to the lowest polymorph listed for this composition = 2.823 kcal/mol of atoms
E_form = 0.184 eV per atom

Geometry as POSCAR:
```
YTcHg2
1.0
6.963 0.000 0.000
0.000 6.963 0.000
0.000 0.000 6.963
Y Tc Hg
4 4 8
Cartesian
0.000 0.000 0.000 Y
0.000 3.481 3.481 Y
3.481 0.000 3.481 Y
3.481 3.481 0.000 Y
0.000 0.000 3.481 Tc
0.000 3.481 0.000 Tc
3.481 0.000 0.000 Tc
3.481 3.481 3.481 Tc
1.741 1.741 1.741 Hg
1.741 1.741 5.222 Hg
1.741 5.222 1.741 Hg
1.741 5.222 5.222 Hg
5.222 1.741 1.741 Hg
5.222 1.741 5.222 Hg
5.222 5.222 1.741 Hg
5.222 5.222 5.222 Hg
```

[9]
Here is VGeN2Cl after structural relaxation from the Alexandria database. Energies are from PBE-GGA.

Energy relative to the lowest polymorph listed for this composition = 22.185 kcal/mol of atoms
E_form (uncorrected) = 1.251 eV per atom

Geometry as POSCAR:
```
VGeN2Cl
1.0
3.704 0.000 0.000
0.000 3.704 0.000
0.000 0.000 5.597
V Ge N Cl
1 1 2 1
Cartesian
0.000 0.000 0.000 V
0.000 0.000 2.799 Ge
0.000 1.852 2.799 N
1.852 0.000 2.799 N
1.852 1.852 0.000 Cl
```

[10]
Here is Ca2ZrP2 after structural relaxation from the Alexandria database. Energies are from PBE-GGA.

Energy relative to the lowest polymorph listed for this composition = 0.000 kcal/mol of atoms
E_form = -0.953 eV per atom

Geometry as POSCAR:
```
Ca2ZrP2
1.0
7.346 0.000 0.000
0.000 7.346 0.000
0.000 0.000 4.082
Ca Zr P
4 2 4
Cartesian
1.085 2.589 0.000 Ca
2.589 6.262 0.000 Ca
4.758 1.085 0.000 Ca
6.262 4.758 0.000 Ca
0.000 0.000 2.041 Zr
3.673 3.673 2.041 Zr
1.219 4.892 2.041 P
2.454 1.219 2.041 P
4.892 6.127 2.041 P
6.127 2.454 2.041 P
```

[11]
Here is Tb2Y2Er4Tm after structural relaxation from the Alexandria database. Energies are from PBE-GGA.

E_form = 0.000 eV per atom

Geometry as POSCAR:
```
Tb2Y2Er4Tm
1.0
9.253 -1.781 0.000
9.253 1.781 0.000
-4.114 0.000 8.522
Tb Y Er Tm
2 2 4 1
Cartesian
3.065 0.000 0.011 Tb
11.327 0.000 8.511 Tb
5.148 0.000 2.859 Y
9.244 0.000 5.663 Y
-1.021 0.000 2.835 Er
3.094 0.000 5.670 Er
11.298 0.000 2.852 Er
15.412 0.000 5.687 Er
9.253 0.000 0.000 Tm
```

[12]
Here is TbPmGeCl after structural relaxation from the Alexandria database. Energies are from PBE-GGA.

Energy relative to the lowest polymorph listed for this composition = 1.124 kcal/mol of atoms
E_form (uncorrected) = -0.962 eV per atom

Geometry as POSCAR:
```
TbPmGeCl
1.0
5.776 0.000 0.000
0.000 4.887 0.000
0.000 0.000 8.557
Tb Pm Ge Cl
2 2 2 2
Cartesian
0.000 0.000 0.000 Tb
0.000 2.443 4.278 Tb
2.888 0.000 2.833 Pm
2.888 2.443 7.111 Pm
0.000 0.000 2.837 Ge
0.000 2.443 7.115 Ge
2.888 0.000 8.555 Cl
2.888 2.443 4.276 Cl
```

[13]
Here is MgTaAs4 after structural relaxation from the Alexandria database. Energies are from PBE-GGA.

E_form = 0.525 eV per atom

Geometry as POSCAR:
```
MgTaAs4
1.0
0.000 3.872 3.872
3.872 0.000 3.872
3.872 3.872 0.000
Mg Ta As
1 1 4
Cartesian
0.000 0.000 0.000 Mg
5.807 5.807 5.807 Ta
2.914 2.914 2.914 As
4.829 4.829 2.914 As
4.829 2.914 4.829 As
2.914 4.829 4.829 As
```

[14]
Here is Ho4Er3Ir4 after structural relaxation from the Alexandria database. Energies are from PBE-GGA.

E_form = -0.700 eV per atom

Geometry as POSCAR:
```
Ho4Er3Ir4
1.0
-1.894 4.301 7.939
1.894 -4.301 7.939
1.894 4.301 -7.939
Ho Er Ir
4 3 4
Cartesian
1.894 -2.666 5.293 Ho
0.000 1.635 2.647 Ho
1.894 2.666 5.293 Ho
0.000 6.968 2.647 Ho
1.894 0.000 0.000 Er
0.000 0.000 6.349 Er
0.000 0.000 9.530 Er
1.894 0.000 3.980 Ir
0.000 2.474 0.000 Ir
0.000 6.129 0.000 Ir
0.000 4.301 3.960 Ir
```

[15]
Here is Ac6BiTe2Se3 after structural relaxation from the Alexandria database. Energies are from PBE-GGA.

E_form (uncorrected) = -1.599 eV per atom

Geometry as POSCAR:
```
Ac6BiTe2Se3
1.0
10.108 -2.302 0.000
10.108 2.302 0.000
-2.232 0.000 9.034
Ac Bi Te Se
6 1 2 3
Cartesian
-0.438 0.000 2.148 Ac
5.679 0.000 3.904 Ac
4.845 0.000 8.164 Ac
13.139 0.000 0.870 Ac
12.305 0.000 5.131 Ac
18.422 0.000 6.887 Ac
8.992 0.000 4.517 Bi
1.535 0.000 7.537 Te
16.449 0.000 1.497 Te
2.621 0.000 2.992 Se
10.108 0.000 0.000 Se
15.363 0.000 6.042 Se
```

[16]
Here is Ga2PdPb after structural relaxation from the Alexandria database. Energies are from PBE-GGA.

E_form = -0.157 eV per atom

Geometry as POSCAR:
```
Ga2PdPb
1.0
3.254 0.000 0.000
-1.627 2.818 0.000
0.000 0.000 28.131
Ga Pd Pb
6 3 3
Cartesian
0.000 0.000 2.902 Ga
0.000 0.000 25.230 Ga
0.000 1.879 15.853 Ga
0.000 1.879 21.656 Ga
1.627 0.939 6.476 Ga
1.627 0.939 12.279 Ga
0.000 0.000 14.066 Pd
0.000 1.879 4.689 Pd
1.627 0.939 23.443 Pd
0.000 0.000 0.000 Pb
0.000 1.879 18.754 Pb
1.627 0.939 9.377 Pb
```

[17]
Here is Cs2ScTa2 after structural relaxation from the Alexandria database. Energies are from PBE-GGA.

E_form = 1.855 eV per atom

Geometry as POSCAR:
```
Cs2ScTa2
1.0
10.490 0.000 0.000
0.000 10.490 0.000
0.000 0.000 3.159
Cs Sc Ta
4 2 4
Cartesian
2.214 3.031 0.000 Cs
3.031 8.276 0.000 Cs
7.459 2.214 0.000 Cs
8.276 7.459 0.000 Cs
0.000 0.000 0.000 Sc
5.245 5.245 0.000 Sc
0.870 6.115 1.580 Ta
4.375 0.870 1.580 Ta
6.115 9.620 1.580 Ta
9.620 4.375 1.580 Ta
```

[18]
Here is Tb4CoHg after structural relaxation from the Alexandria database. Energies are from PBE-GGA.

Energy relative to the lowest polymorph listed for this composition = 0.000 kcal/mol of atoms
E_form = -0.295 eV per atom

Geometry as POSCAR:
```
Tb4CoHg
1.0
0.000 6.714 6.714
6.714 0.000 6.714
6.714 6.714 0.000
Tb Co Hg
16 4 4
Cartesian
3.357 3.357 0.820 Tb
3.357 0.820 3.357 Tb
5.894 3.357 3.357 Tb
6.714 6.714 2.533 Tb
6.714 2.533 6.714 Tb
10.896 6.714 6.714 Tb
8.030 5.399 5.399 Tb
0.820 3.357 3.357 Tb
3.357 5.894 3.357 Tb
3.357 3.357 5.894 Tb
5.399 8.030 5.399 Tb
5.399 5.399 8.030 Tb
8.030 8.030 8.030 Tb
2.533 6.714 6.714 Tb
6.714 10.896 6.714 Tb
6.714 6.714 10.896 Tb
5.253 5.253 5.253 Co
8.176 8.176 5.253 Co
8.176 5.253 8.176 Co
5.253 8.176 8.176 Co
11.196 8.947 8.947 Hg
8.947 11.196 8.947 Hg
8.947 8.947 11.196 Hg
11.196 11.196 11.196 Hg
```

[19]
Here is K2CdHF6 after structural relaxation from the Alexandria database. Energies are from PBE-GGA.

Electronic total energy = -0.1420 Ha/atom

Geometry as POSCAR:
```
K2CdHF6
1.0
5.064 0.000 0.000
0.000 9.942 0.000
0.000 0.000 6.558
K Cd H F
4 2 2 12
Cartesian
1.266 0.553 1.403 K
1.266 4.417 1.403 K
3.798 5.524 5.155 K
3.798 9.388 5.155 K
1.266 2.485 4.764 Cd
3.798 7.456 1.794 Cd
1.266 7.456 3.631 H
3.798 2.485 2.927 H
0.120 7.456 3.615 F
0.195 7.456 0.123 F
1.266 0.357 4.898 F
1.266 4.614 4.898 F
2.337 7.456 0.123 F
2.412 7.456 3.615 F
2.652 2.485 2.943 F
2.728 2.485 6.435 F
3.798 5.327 1.660 F
3.798 9.585 1.660 F
4.869 2.485 6.435 F
4.944 2.485 2.943 F
```

[20]
Here is PSN after structural relaxation from the Alexandria database. Energies are from PBE-GGA.

Energy relative to the lowest polymorph listed for this composition = 5.526 kcal/mol of atoms
E_form (uncorrected) = 0.264 eV per atom

Geometry as POSCAR:
```
PSN
1.0
2.777 0.000 0.000
0.004 3.702 0.000
0.131 1.417 6.184
P S N
1 1 1
Cartesian
0.000 0.000 0.000 P
2.778 3.980 1.939 S
1.520 1.230 5.365 N
```

[21]
Here is BeVAu after structural relaxation from the Alexandria database. Energies are from PBE-GGA.

Energy relative to the lowest polymorph listed for this composition = 0.614 kcal/mol of atoms
E_form = -0.062 eV per atom

Geometry as POSCAR:
```
BeVAu
1.0
4.260 0.000 0.000
-2.130 3.689 0.000
0.000 0.000 5.088
Be V Au
2 2 2
Cartesian
0.000 2.459 1.272 Be
2.130 1.230 3.816 Be
0.000 0.000 0.000 V
0.000 0.000 2.544 V
0.000 2.459 3.816 Au
2.130 1.230 1.272 Au
```

[22]
Here is LiPm2Ge4Rh3 after structural relaxation from the Alexandria database. Energies are from PBE-GGA.

E_form = -0.777 eV per atom

Geometry as POSCAR:
```
LiPm2Ge4Rh3
1.0
4.329 0.000 0.000
0.000 4.329 0.000
0.000 0.000 9.871
Li Pm Ge Rh
1 2 4 3
Cartesian
0.000 0.000 0.000 Li
0.000 2.165 7.363 Pm
2.165 0.000 2.508 Pm
0.000 0.000 4.936 Ge
0.000 2.165 1.274 Ge
2.165 0.000 8.598 Ge
2.165 2.165 4.936 Ge
0.000 2.165 3.707 Rh
2.165 0.000 6.165 Rh
2.165 2.165 0.000 Rh
```

[23]
Here is Er4MgAg2 after structural relaxation from the Alexandria database. Energies are from PBE-GGA.

Energy relative to the lowest polymorph listed for this composition = 3.206 kcal/mol of atoms
E_form = 0.043 eV per atom

Geometry as POSCAR:
```
Er4MgAg2
1.0
2.536 1.464 8.821
-2.536 1.464 8.821
0.000 -2.928 8.821
Er Mg Ag
4 1 2
Cartesian
0.000 0.000 3.186 Er
0.000 0.000 7.683 Er
0.000 0.000 18.778 Er
0.000 0.000 23.276 Er
0.000 0.000 13.231 Mg
0.000 0.000 10.613 Ag
0.000 0.000 15.849 Ag
```

Number 1: calculated volume 358 Å³/cell. Number 2: calculated volume 160 Å³/cell. Number 3: calculated volume 266 Å³/cell. Number 4: calculated volume 330 Å³/cell. Number 5: calculated volume 267 Å³/cell. Number 6: calculated volume 215 Å³/cell. Number 7: calculated volume 286 Å³/cell. Number 8: calculated volume 338 Å³/cell. Number 9: calculated volume 77 Å³/cell. Number 10: calculated volume 220 Å³/cell. Number 11: calculated volume 281 Å³/cell. Number 12: calculated volume 242 Å³/cell. Number 13: calculated volume 116 Å³/cell. Number 14: calculated volume 259 Å³/cell. Number 15: calculated volume 420 Å³/cell. Number 16: calculated volume 258 Å³/cell. Number 17: calculated volume 348 Å³/cell. Number 18: calculated volume 605 Å³/cell. Number 19: calculated volume 330 Å³/cell. Number 20: calculated volume 64 Å³/cell. Number 21: calculated volume 80 Å³/cell. Number 22: calculated volume 185 Å³/cell. Number 23: calculated volume 196 Å³/cell.